First-principles (GGA+U) data for crystalline Li2VO2F2 at its relaxed geometry, as listed in Alexandria.

Cell and atoms, written as extended XYZ:
```
28
Lattice="-1.2704 5.5306 -1.7481 -2.5478 1.1072 5.3541 7.3546 2.6604 3.0725" Properties=species:S:1:pos:R:3 pbc="T T T"
Li 1.9129 2.6869 2.1089
Li -1.4135 2.4936 3.9144
Li 3.9213 3.9451 4.5401
Li 5.9678 5.6918 3.5195
Li 1.2374 4.9735 4.6837
Li -0.3675 5.2770 2.1624
Li 2.9701 6.0704 1.8826
Li 3.6035 7.3441 5.4515
V 6.5663 3.0533 4.3795
V 1.8536 2.3236 5.4950
V 2.6775 4.3675 7.2586
V -1.6518 5.8760 4.8251
O 5.0142 2.3555 3.5917
O 3.4425 2.8612 6.3335
O 6.7949 3.9551 2.6425
O 1.0677 3.8480 6.4652
O -1.4127 1.7787 2.1154
O 1.9704 3.1479 3.9882
O -0.0608 6.6020 5.2754
O -0.7821 4.4214 -1.0989
F 4.2505 4.8938 2.7507
F 3.0187 5.4927 5.5405
F 0.6260 3.8246 1.1656
F -0.8167 4.3601 3.9081
F 1.3313 6.0748 3.0118
F -2.1216 4.7205 1.2368
F -0.0600 6.3659 0.3567
F -1.3084 6.9453 3.0966
```

Output
The space-group type is P2, No. 3. As for the final energy: -6.032 eV/atom.